# Li2MnNi2

A relaxed Li2MnNi2 crystal (PBE, Alexandria).

- Calculated total energy: -4.627 eV/atom
- Density of states at the Fermi level: 0.56 states/eV per atom
- Formation enthalpy at 0 K: 27.5 kJ/mol of atoms
- Total magnetic moment: 0.81 μB/atom

a = 3.1629 Å, b = 3.1629 Å, c = 12.6517 Å
α = 90.00°, β = 90.00°, γ = 90.00°
Space group I4/mmm (No. 139)
Asymmetric unit:
Li1 0.0000 0.5000 0.2500
Mn1 0.0000 0.0000 0.0000
Ni1 0.0000 0.0000 0.4045

# LiMn2Ni2

A relaxed LiMn2Ni2 crystal (PBE, Alexandria).

- Calculated total energy: -6.291 eV/atom
- Density of states at the Fermi level: 0.58 states/eV per atom
- Formation enthalpy at 0 K: 7.0 kJ/mol of atoms
- Total magnetic moment: 1.58 μB/atom

a = 7.0320 Å, b = 7.0320 Å, c = 2.7013 Å
α = 90.00°, β = 90.00°, γ = 90.00°
Space group P4/mbm (No. 127)
Asymmetric unit:
Li1 0.0000 0.0000 0.0000
Mn1 0.1539 0.3461 0.5000
Ni1 0.1401 0.6401 0.0000

# LiMnNi6

A relaxed LiMnNi6 crystal (PBE, Alexandria).

- Calculated total energy: -5.152 eV/atom
- Density of states at the Fermi level: 1.37 states/eV per atom
- Formation enthalpy at 0 K: 54.9 kJ/mol of atoms
- Total magnetic moment: 0.29 μB/atom

a = 4.7408 Å, b = 4.7408 Å, c = 18.4477 Å
α = 90.00°, β = 90.00°, γ = 120.00°
Space group R-3m (No. 166, hexagonal axes)
Asymmetric unit:
Li1 0.0000 0.0000 0.0000
Mn1 0.0000 0.0000 0.5000
Ni1 0.0063 0.5032 0.9374

# LiMnNi

A relaxed LiMnNi crystal (PBE, Alexandria).

- Calculated total energy: -5.400 eV/atom
- Density of states at the Fermi level: 0.98 states/eV per atom
- Formation enthalpy at 0 K: 21.4 kJ/mol of atoms
- Total magnetic moment: 0.50 μB/atom

a = 2.4576 Å, b = 2.4576 Å, c = 11.8201 Å
α = 90.00°, β = 90.00°, γ = 90.00°
Space group I4mm (No. 107)
Asymmetric unit:
Li1 0.0000 0.0000 0.0000
Mn1 0.0000 0.0000 0.3130
Ni1 0.0000 0.0000 0.6687

# LiMnNi

A relaxed LiMnNi crystal (PBE, Alexandria).

- Calculated total energy: -5.479 eV/atom
- Density of states at the Fermi level: 1.08 states/eV per atom
- Formation enthalpy at 0 K: 13.7 kJ/mol of atoms
- Total magnetic moment: 0.00 μB/atom

a = 2.3957 Å, b = 3.9501 Å, c = 6.9002 Å
α = 90.00°, β = 93.47°, γ = 90.00°
Space group Pm (No. 6)
Asymmetric unit:
Li1 0.0000 0.0000 0.0000
Li2 0.3480 0.0000 0.6746
Mn1 0.3303 0.5000 0.1814
Mn2 0.5962 0.0000 0.3288
Ni1 0.0302 0.5000 0.5151
Ni2 0.6752 0.5000 0.8525

# Li2MnNi

A relaxed Li2MnNi crystal (PBE, Alexandria).

- Calculated total energy: -3.935 eV/atom
- Density of states at the Fermi level: 1.12 states/eV per atom
- Formation enthalpy at 0 K: 73.3 kJ/mol of atoms
- Total magnetic moment: 0.00 μB/atom

a = 6.5519 Å, b = 6.5519 Å, c = 4.5923 Å
α = 90.00°, β = 90.00°, γ = 90.00°
Space group I-42d (No. 122)
Asymmetric unit:
Li1 0.2361 0.2500 0.1250
Mn1 0.0000 0.0000 0.5000
Ni1 0.0000 0.0000 0.0000

# Li2MnNi

A relaxed Li2MnNi crystal (PBE, Alexandria).

- Calculated total energy: -4.497 eV/atom
- Density of states at the Fermi level: 0.56 states/eV per atom
- Formation enthalpy at 0 K: 19.1 kJ/mol of atoms
- Total magnetic moment: 1.02 μB/atom

a = 2.9951 Å, b = 4.3100 Å, c = 8.1147 Å
α = 90.00°, β = 90.00°, γ = 90.00°
Space group Imm2 (No. 44)
Asymmetric unit:
Li1 0.0000 0.0000 0.0000
Li2 0.0000 0.5000 0.2508
Mn1 0.0000 0.5000 0.7701
Ni1 0.0000 0.0000 0.5067

# Li2MnNi

A relaxed Li2MnNi crystal (PBE, Alexandria).

- Calculated total energy: -4.578 eV/atom
- Density of states at the Fermi level: 0.53 states/eV per atom
- Formation enthalpy at 0 K: 11.2 kJ/mol of atoms
- Total magnetic moment: 1.03 μB/atom

a = 2.7551 Å, b = 3.4744 Å, c = 5.8308 Å
α = 90.00°, β = 90.12°, γ = 90.00°
Space group Pm (No. 6)
Asymmetric unit:
Li1 0.0000 0.0000 0.0000
Li2 0.4984 0.5000 0.2711
Mn1 0.5009 0.5000 0.7147
Ni1 0.0000 0.0000 0.5251

# LiMnNi4

A relaxed LiMnNi4 crystal (PBE, Alexandria).

- Calculated total energy: -5.722 eV/atom
- Density of states at the Fermi level: 0.76 states/eV per atom
- Formation enthalpy at 0 K: -2.0 kJ/mol of atoms
- Total magnetic moment: 0.92 μB/atom

a = 6.6501 Å, b = 6.6501 Å, c = 6.6501 Å
α = 90.00°, β = 90.00°, γ = 90.00°
Space group F-43m (No. 216)
Asymmetric unit:
Li1 0.0000 0.0000 0.0000
Mn1 0.2500 0.2500 0.2500
Ni1 0.1251 0.1251 0.6251

# LiMnNi

A relaxed LiMnNi crystal (PBE, Alexandria).

- Calculated total energy: -5.456 eV/atom
- Density of states at the Fermi level: 0.86 states/eV per atom
- Formation enthalpy at 0 K: 16.0 kJ/mol of atoms
- Total magnetic moment: 0.00 μB/atom

a = 2.3919 Å, b = 4.2325 Å, c = 6.5676 Å
α = 90.00°, β = 93.06°, γ = 90.00°
Space group Pm (No. 6)
Asymmetric unit:
Li1 0.0000 0.0000 0.0000
Li2 0.3606 0.0000 0.6676
Mn1 0.2240 0.5000 0.4707
Mn2 0.3673 0.5000 0.1588
Ni1 0.7503 0.0000 0.3370
Ni2 0.7923 0.5000 0.8166

# Li3MnNi

A relaxed Li3MnNi crystal (PBE, Alexandria).

- Calculated total energy: -3.077 eV/atom
- Density of states at the Fermi level: 0.93 states/eV per atom
- Formation enthalpy at 0 K: 102.4 kJ/mol of atoms
- Total magnetic moment: 0.02 μB/atom

a = 4.3369 Å, b = 4.3369 Å, c = 4.3369 Å
α = 90.00°, β = 90.00°, γ = 90.00°
Space group Pm-3m (No. 221)
Asymmetric unit:
Li1 0.0000 0.0000 0.5000
Mn1 0.5000 0.5000 0.5000
Ni1 0.0000 0.0000 0.0000

# Li2MnNi

A relaxed Li2MnNi crystal (PBE, Alexandria).

- Calculated total energy: -4.573 eV/atom
- Density of states at the Fermi level: 0.74 states/eV per atom
- Formation enthalpy at 0 K: 11.7 kJ/mol of atoms
- Total magnetic moment: 0.94 μB/atom

a = 2.7449 Å, b = 4.1764 Å, c = 4.4955 Å
α = 90.00°, β = 90.00°, γ = 90.00°
Space group Pmmm (No. 47)
Asymmetric unit:
Li1 0.0000 0.0000 0.0000
Li2 0.5000 0.5000 0.0000
Mn1 0.0000 0.5000 0.5000
Ni1 0.5000 0.0000 0.5000

# Li2MnNi

A relaxed Li2MnNi crystal (PBE, Alexandria).

- Calculated total energy: -4.535 eV/atom
- Density of states at the Fermi level: 0.50 states/eV per atom
- Formation enthalpy at 0 K: 15.4 kJ/mol of atoms
- Total magnetic moment: 0.94 μB/atom

a = 8.9640 Å, b = 2.7070 Å, c = 4.6784 Å
α = 90.00°, β = 110.72°, γ = 90.00°
Space group Cm (No. 8)
Asymmetric unit:
Li1 0.0000 0.0000 0.0000
Li2 0.2386 0.0000 0.8674
Mn1 0.4672 0.0000 0.4709
Ni1 0.2290 0.5000 0.3859

# LiMnNi

A relaxed LiMnNi crystal (PBE, Alexandria).

- Calculated total energy: -5.444 eV/atom
- Density of states at the Fermi level: 1.05 states/eV per atom
- Formation enthalpy at 0 K: 17.1 kJ/mol of atoms
- Total magnetic moment: 0.85 μB/atom

a = 2.5145 Å, b = 2.5145 Å, c = 6.5139 Å
α = 90.00°, β = 90.00°, γ = 120.00°
Space group P3m1 (No. 156)
Asymmetric unit:
Li1 0.0000 0.0000 0.0000
Mn1 0.6667 0.3333 0.3541
Ni1 0.3333 0.6667 0.6660

# Li2MnNi

A relaxed Li2MnNi crystal (PBE, Alexandria).

- Calculated total energy: -4.528 eV/atom
- Density of states at the Fermi level: 1.23 states/eV per atom
- Formation enthalpy at 0 K: 16.0 kJ/mol of atoms
- Total magnetic moment: 0.36 μB/atom

a = 2.4801 Å, b = 2.4801 Å, c = 26.4828 Å
α = 90.00°, β = 90.00°, γ = 120.00°
Space group R-3m (No. 166, hexagonal axes)
Asymmetric unit:
Li1 0.0000 0.0000 0.2466
Mn1 0.0000 0.0000 0.0000
Ni1 0.0000 0.0000 0.5000

# LiMnNi

A relaxed LiMnNi crystal (PBE, Alexandria).

- Calculated total energy: -5.500 eV/atom
- Density of states at the Fermi level: 0.45 states/eV per atom
- Formation enthalpy at 0 K: 11.7 kJ/mol of atoms
- Total magnetic moment: 1.37 μB/atom

a = 2.7166 Å, b = 3.4761 Å, c = 8.0162 Å
α = 90.00°, β = 90.00°, γ = 90.00°
Space group Imm2 (No. 44)
Asymmetric unit:
Li1 0.0000 0.0000 0.0000
Mn1 0.0000 0.0000 0.3164
Ni1 0.0000 0.0000 0.6676

# Li2MnNi2

A relaxed Li2MnNi2 crystal (PBE, Alexandria).

- Calculated total energy: -4.723 eV/atom
- Density of states at the Fermi level: 0.49 states/eV per atom
- Formation enthalpy at 0 K: 18.3 kJ/mol of atoms
- Total magnetic moment: 0.85 μB/atom

a = 6.5506 Å, b = 6.5506 Å, c = 2.7287 Å
α = 90.00°, β = 90.00°, γ = 90.00°
Space group P4/mbm (No. 127)
Asymmetric unit:
Li1 0.1164 0.3836 0.0000
Mn1 0.0000 0.0000 0.0000
Ni1 0.1869 0.6869 0.5000

# LiMnNi

A relaxed LiMnNi crystal (PBE, Alexandria).

- Calculated total energy: -4.926 eV/atom
- Density of states at the Fermi level: 1.08 states/eV per atom
- Formation enthalpy at 0 K: 67.1 kJ/mol of atoms
- Total magnetic moment: 0.10 μB/atom

a = 5.3496 Å, b = 5.3496 Å, c = 5.3496 Å
α = 90.00°, β = 90.00°, γ = 90.00°
Space group F-43m (No. 216)
Asymmetric unit:
Li1 0.0000 0.0000 0.0000
Mn1 0.0000 0.0000 0.5000
Ni1 0.2500 0.2500 0.7500

# LiMnNi

A relaxed LiMnNi crystal (PBE, Alexandria).

- Calculated total energy: -5.491 eV/atom
- Density of states at the Fermi level: 1.09 states/eV per atom
- Formation enthalpy at 0 K: 12.6 kJ/mol of atoms
- Total magnetic moment: 0.00 μB/atom

a = 2.4450 Å, b = 4.1141 Å, c = 6.9029 Å
α = 78.47°, β = 88.92°, γ = 89.75°
Space group P-1 (No. 2)
Asymmetric unit:
Li1 0.2432 0.1389 0.3138
Mn1 0.2848 0.7323 0.0504
Ni1 0.2462 0.3756 0.6481